Material: ReP2SCl
Method: DFT, meta-GGA SCAN
State: PBEsol geometry

Summary:
Magnetization: 1.2 μB per formula unit
E_form (uncorrected): 0.4105 eV per atom

Structure (POSCAR):
```
ReP2SCl
1.0
4.633 0.000 0.000
0.000 4.633 0.000
0.000 0.000 4.487
Re P S Cl
1 2 1 1
Direct
0.000 0.000 0.000
0.000 0.500 0.000
0.500 0.000 0.000
0.000 0.000 0.500
0.500 0.500 0.500
```